Entry 1:
The following is a PBE-GGA calculation of a relaxed Pm4Si5Au3 crystal, from Alexandria.

M_tot: 0.0 μB/f.u.
total DFT energy (no corrections): -5.09 eV per atom

Cell lengths 4.4732, 7.5701, 9.6232 Å; angles 77.77, 76.56, 72.82 degrees
With the nearest neighbours (Å) after each atom.
Fractional coordinates of all 12 atoms:
Pm: 0.9068 0.2670 0.9195  3 Si 2.82-3.10
Pm: 0.2482 0.8321 0.6715  5 Si 3.03-3.22, 3 Au 3.06-3.38
Pm: 0.7518 0.1679 0.3285  5 Si 3.03-3.22, 3 Au 3.06-3.38
Pm: 0.0932 0.7330 0.0805  3 Si 2.82-3.10
Au: 0.4189 0.8151 0.3471  2 Si 2.43-2.50
Au: 0.0000 0.5000 0.5000  2 Si 2.24
Au: 0.5811 0.1849 0.6529  2 Si 2.43-2.50
Si: 0.4251 0.0293 0.1205  2 Si 2.26-2.36, 1 Au 2.43
Si: 0.2639 0.3387 0.1335  1 Si 2.26
Si: 0.5749 0.9707 0.8795  2 Si 2.26-2.36, 1 Au 2.43
Si: 0.7361 0.6613 0.8665  1 Si 2.26
Si: 0.5000 0.5000 0.5000  4 Au 2.24-2.50

=====

Entry 2:
The following is a PBE-GGA calculation of a relaxed PmSi2Au3 crystal, from Alexandria.

M_tot: 0.0 μB/f.u.
total DFT energy (no corrections): -4.73 eV per atom

Cell lengths 4.3077, 8.2157, 7.5613 Å; angles 114.49, 90.00, 105.20 degrees
With the nearest neighbours (Å) after each atom.
Fractional coordinates of all 12 atoms:
Si: 0.1910 0.3821 0.6943  4 Au 2.45-2.61
Si: 0.5124 0.0248 0.1627  1 Si 2.32, 4 Au 2.53-2.55
Si: 0.4876 0.9752 0.8373  1 Si 2.32, 4 Au 2.53-2.55
Si: 0.8090 0.6179 0.3057  4 Au 2.45-2.61
Au: 0.3179 0.6358 0.5904  2 Si 2.45-2.53
Au: 0.6821 0.3642 0.4096  2 Si 2.45-2.53
Au: 0.3786 0.7573 0.2618  3 Si 2.51-2.53
Au: 0.6214 0.2427 0.7382  3 Si 2.51-2.53
Au: 0.9580 0.9159 0.6389  3 Si 2.55-2.61
Au: 0.0420 0.0841 0.3611  3 Si 2.55-2.61
Pm: 0.8507 0.7015 0.9279  7 Si 3.20-3.33, 7 Au 3.20-3.38
Pm: 0.1493 0.2985 0.0721  7 Si 3.20-3.33, 7 Au 3.20-3.38

=====

Entry 3:
The following is a PBE-GGA calculation of a relaxed Pm5Si4Au crystal, from Alexandria.

M_tot: 0.0 μB/f.u.
total DFT energy (no corrections): -5.39 eV per atom

Cell lengths 3.4218, 3.4218, 20.1210 Å; angles 90.00, 90.00, 90.00 degrees
With the nearest neighbours (Å) after each atom.
Fractional coordinates of all 10 atoms:
Si: 0.0000 0.0000 0.8017  8 Pm 3.08-3.16, 4 Si 3.42
Si: 0.0000 0.0000 0.1983  8 Pm 3.08-3.16, 4 Si 3.42
Si: 0.0000 0.0000 0.6005  8 Pm 3.14-3.15, 4 Si 3.42
Si: 0.0000 0.0000 0.3995  8 Pm 3.14-3.15, 4 Si 3.42
Pm: 0.5000 0.5000 0.2997  8 Si 3.14-3.16, 4 Pm 3.42
Pm: 0.5000 0.5000 0.8965  4 Si 3.08, 4 Au 3.19, 4 Pm 3.42
Pm: 0.5000 0.5000 0.5000  8 Si 3.15, 4 Pm 3.42
Pm: 0.5000 0.5000 0.7003  8 Si 3.14-3.16, 4 Pm 3.42
Pm: 0.5000 0.5000 0.1035  4 Si 3.08, 4 Au 3.19, 4 Pm 3.42
Au: 0.0000 0.0000 0.0000  8 Pm 3.19, 4 Au 3.42

=====

Entry 4:
The following is a PBE-GGA calculation of a relaxed Pm4SiAu3 crystal, from Alexandria.

M_tot: 0.0 μB/f.u.
total DFT energy (no corrections): -5.04 eV per atom

Cell lengths 4.0812, 4.4848, 11.2280 Å; angles 90.00, 90.00, 90.00 degrees
With the nearest neighbours (Å) after each atom.
Fractional coordinates of all 8 atoms:
Pm: 0.0000 0.5000 0.8666  5 Au 3.09-3.12, 2 Si 3.17
Pm: 0.0000 0.0000 0.1370  4 Si 3.09, 3 Au 3.11-3.18
Pm: 0.5000 0.5000 0.3521  1 Si 3.03, 6 Au 3.11-3.35
Pm: 0.5000 0.0000 0.6402  7 Au 3.09-3.26
Au: 0.5000 0.0000 0.9193  2 Si 2.89, 7 Pm 3.09-3.18
Au: 0.0000 0.5000 0.5884  2 Au 2.98, 5 Pm 3.09-3.12
Au: 0.0000 0.0000 0.4141  2 Au 2.98, 7 Pm 3.11-3.26
Si: 0.5000 0.5000 0.0824  2 Au 2.89, 7 Pm 3.03-3.17

=====

Entry 5:
The following is a PBE-GGA calculation of a relaxed Pm5Si3Au3 crystal, from Alexandria.

M_tot: 1.0 μB/f.u.
total DFT energy (no corrections): -4.82 eV per atom

Cell lengths 3.6501, 9.7335, 9.7335 Å; angles 120.00, 90.00, 90.00 degrees
With the nearest neighbours (Å) after each atom.
Fractional coordinates of all 11 atoms:
Pm: 0.5000 0.7678 0.0000  1 Si 3.02, 4 Au 3.09
Pm: 0.5000 0.0000 0.7678  1 Si 3.02, 4 Au 3.09
Pm: 0.5000 0.3333 0.6667  3 Si 2.84
Pm: 0.5000 0.2322 0.2322  1 Si 3.02, 4 Au 3.09
Pm: 0.5000 0.6667 0.3333  3 Si 2.84
Si: 0.5000 0.0000 0.4575  2 Au 2.54, 2 Pm 2.84
Si: 0.5000 0.4575 0.0000  2 Au 2.54, 2 Pm 2.84
Si: 0.5000 0.5425 0.5425  2 Au 2.54, 2 Pm 2.84
Au: 0.0000 0.7243 0.7243  2 Si 2.54
Au: 0.0000 0.2757 0.0000  2 Si 2.54
Au: 0.0000 0.0000 0.2757  2 Si 2.54

=====

Entry 6:
The following is a PBE-GGA calculation of a relaxed PmSiAu3 crystal, from Alexandria.

M_tot: 0.0 μB/f.u.
relative energy among the computed polymorphs: 38 meV per atom

Cell lengths 4.4371, 8.5107, 10.7926 Å; angles 90.00, 90.00, 90.00 degrees
With the nearest neighbours (Å) after each atom.
Fractional coordinates of all 20 atoms:
Si: 0.2500 0.1013 0.6433  5 Au 2.45-2.68
Si: 0.7500 0.8987 0.3567  5 Au 2.45-2.68
Si: 0.7500 0.3987 0.1433  5 Au 2.45-2.68
Si: 0.2500 0.6013 0.8567  5 Au 2.45-2.68
Au: 0.2500 0.5627 0.0915  3 Si 2.56-2.68
Au: 0.7500 0.1244 0.2120  2 Si 2.45-2.48
Au: 0.2500 0.3756 0.7120  2 Si 2.45-2.48
Au: 0.7500 0.6244 0.2880  2 Si 2.45-2.48
Au: 0.2500 0.8756 0.7880  2 Si 2.45-2.48
Au: 0.7500 0.9373 0.5915  3 Si 2.56-2.68
Au: 0.7500 0.4373 0.9085  3 Si 2.56-2.68
Au: 0.7500 0.6114 0.6768  4 Au 2.91-3.02, 2 Si 2.95, 3 Pm 3.07-3.17
Au: 0.7500 0.1114 0.8232  4 Au 2.91-3.02, 2 Si 2.95, 3 Pm 3.07-3.17
Au: 0.2500 0.8886 0.1768  4 Au 2.91-3.02, 2 Si 2.95, 3 Pm 3.07-3.17
Au: 0.2500 0.0627 0.4085  3 Si 2.56-2.68
Au: 0.2500 0.3886 0.3232  4 Au 2.91-3.02, 2 Si 2.95, 3 Pm 3.07-3.17
Pm: 0.7500 0.8065 0.9917  8 Au 3.07-3.27, 2 Si 3.18
Pm: 0.2500 0.1935 0.0083  8 Au 3.07-3.27, 2 Si 3.18
Pm: 0.7500 0.3065 0.5083  8 Au 3.07-3.27, 2 Si 3.18
Pm: 0.2500 0.6935 0.4917  8 Au 3.07-3.27, 2 Si 3.18